VASP calculation (GGA-PBE) on a relaxed structure of Ho8ZnGa3Se4. Values from VASP.

Structure (Quantum ESPRESSO input):
```
&SYSTEM
  ibrav = 0, nat = 16, ntyp = 4
/
ATOMIC_SPECIES
Ho 164.93 Ho.upf
Zn 65.41 Zn.upf
Ga 69.72 Ga.upf
Se 78.96 Se.upf
CELL_PARAMETERS angstrom
-3.466 -6.981 1.002
6.368 -2.408 5.257
-3.857 6.599 1.822
ATOMIC_POSITIONS crystal
Ho 0.751 0.753 0.502
Zn 0.000 0.500 0.000
Ga 0.000 0.500 0.500
Ho 0.748 0.245 0.496
Se 0.500 0.000 0.000
Ho 0.252 0.755 0.504
Ho 0.751 0.755 0.003
Ho 0.748 0.245 0.997
Ga 0.500 0.500 0.000
Ho 0.249 0.245 0.997
Se 0.500 0.000 0.500
Ho 0.252 0.755 0.003
Ho 0.249 0.247 0.498
Se 0.000 0.000 0.000
Ga 0.500 0.500 0.500
Se 0.000 0.000 0.500
```

Values from the calculation:
DFT total energy ... -4.9269 eV per atom